Entry 1:
Below is Rb2SrAs2O6 after structural relaxation, with properties calculated at the PBE level.

Cell and atoms, written as CIF:
```
data_Rb2SrAs2O6
_space_group_name_H-M_alt 'C 1 2/m 1'
_space_group_IT_number 12
_cell_length_a 10.870
_cell_length_b 6.279
_cell_length_c 7.393
_cell_angle_alpha 90.00
_cell_angle_beta 122.39
_cell_angle_gamma 90.00
loop_
_space_group_symop_operation_xyz
'x,y,z'
'-x,-y,-z'
'-x,y,-z'
'x,-y,z'
'x+1/2,y+1/2,z'
'-x+1/2,-y+1/2,-z'
'-x+1/2,y+1/2,-z'
'x+1/2,-y+1/2,z'
loop_
_atom_site_label
_atom_site_fract_x
_atom_site_fract_y
_atom_site_fract_z
_atom_site_occupancy
Rb1 0.212 0.000 0.193 1
Sr1 0.000 0.000 0.500 1
As1 0.043 0.500 0.194 1
O1 0.029 0.273 0.769 1
O2 0.229 0.500 0.341 1
```

Calculated values
ΔE_f (raw) = -1831.7 meV per atom
Magnetic moment = 0.0 μB per formula unit

---

Entry 2:
Below is K2TmIrO6 after structural relaxation, with properties calculated at the PBE level.

Cell and atoms, written as CIF:
```
data_K2TmIrO6
_space_group_name_H-M_alt 'F m -3 m'
_space_group_IT_number 225
_space_group_name_Hall '-F 4 2 3'
_cell_length_a 8.252
_cell_length_b 8.252
_cell_length_c 8.252
_cell_angle_alpha 90.00
_cell_angle_beta 90.00
_cell_angle_gamma 90.00
loop_
_atom_site_label
_atom_site_fract_x
_atom_site_fract_y
_atom_site_fract_z
_atom_site_occupancy
K1 0.250 0.250 0.250 1
Tm1 0.000 0.000 0.000 1
Ir1 0.000 0.000 0.500 1
O1 0.000 0.000 0.267 1
```

Calculated values
ΔE_f (raw) = -1734.8 meV per atom
Magnetic moment = 0.0 μB per formula unit

---

Entry 3:
Below is BeZn2Hg2 after structural relaxation, with properties calculated at the PBE level.

Cell and atoms, written as CIF:
```
data_BeZn2Hg2
_space_group_name_H-M_alt 'I 4/m m m'
_space_group_IT_number 139
_space_group_name_Hall '-I 4 2'
_cell_length_a 4.127
_cell_length_b 4.127
_cell_length_c 12.503
_cell_angle_alpha 90.00
_cell_angle_beta 90.00
_cell_angle_gamma 90.00
loop_
_atom_site_label
_atom_site_fract_x
_atom_site_fract_y
_atom_site_fract_z
_atom_site_occupancy
Be1 0.000 0.000 0.000 1
Zn1 0.000 0.000 0.406 1
Hg1 0.000 0.500 0.250 1
```

Calculated values
Energy of formation from the pure elements = 0.624 eV/atom
Magnetic moment = 0.0 μB per formula unit

---

Entry 4:
Below is AgRuPt2 after structural relaxation, with properties calculated at the PBE level.

Cell and atoms, written as CIF:
```
data_AgRuPt2
_space_group_name_H-M_alt 'P 4/m m m'
_space_group_IT_number 123
_space_group_name_Hall '-P 4 2'
_cell_length_a 3.977
_cell_length_b 3.977
_cell_length_c 3.963
_cell_angle_alpha 90.00
_cell_angle_beta 90.00
_cell_angle_gamma 90.00
loop_
_atom_site_label
_atom_site_fract_x
_atom_site_fract_y
_atom_site_fract_z
_atom_site_occupancy
Ag1 0.000 0.000 0.000 1
Ru1 0.500 0.500 0.000 1
Pt1 0.000 0.500 0.500 1
```

Calculated values
Energy of formation from the pure elements = 0.271 eV/atom
Magnetic moment = 1.1 μB per formula unit

---

Entry 5:
Below is BeZnTe2 after structural relaxation, with properties calculated at the PBE level.

Cell and atoms, written as CIF:
```
data_BeZnTe2
_space_group_name_H-M_alt 'P 4 m m'
_space_group_IT_number 99
_cell_length_a 3.066
_cell_length_b 3.066
_cell_length_c 10.064
_cell_angle_alpha 90.00
_cell_angle_beta 90.00
_cell_angle_gamma 90.00
loop_
_space_group_symop_operation_xyz
'x,y,z'
'-y,x,z'
'-x,-y,z'
'y,-x,z'
'-x,y,z'
'y,x,z'
'x,-y,z'
'-y,-x,z'
loop_
_atom_site_label
_atom_site_fract_x
_atom_site_fract_y
_atom_site_fract_z
_atom_site_occupancy
Be1 0.000 0.000 0.000 1
Zn1 0.500 0.500 0.908 1
Te1 0.000 0.000 0.620 1
Te2 0.500 0.500 0.236 1
```

Calculated values
ΔE_f (raw) = 380.7 meV per atom
Magnetic moment = 0.0 μB per formula unit

---

Entry 6:
Below is Tl2HgHPb after structural relaxation, with properties calculated at the PBE level.

Cell and atoms, written as CIF:
```
data_Tl2HgHPb
_space_group_name_H-M_alt 'P 4/m m m'
_space_group_IT_number 123
_space_group_name_Hall '-P 4 2'
_cell_length_a 5.217
_cell_length_b 5.217
_cell_length_c 4.608
_cell_angle_alpha 90.00
_cell_angle_beta 90.00
_cell_angle_gamma 90.00
loop_
_atom_site_label
_atom_site_fract_x
_atom_site_fract_y
_atom_site_fract_z
_atom_site_occupancy
Tl1 0.000 0.500 0.000 1
Hg1 0.000 0.000 0.500 1
H1 0.500 0.500 0.000 1
Pb1 0.500 0.500 0.500 1
```

Calculated values
Total energy = -2.222 eV per atom
Magnetic moment = 0.0 μB per formula unit

---

Entry 7:
Below is CsHf3S after structural relaxation, with properties calculated at the PBE level.

Cell and atoms, written as CIF:
```
data_CsHf3S
_space_group_name_H-M_alt 'P m -3 m'
_space_group_IT_number 221
_space_group_name_Hall '-P 4 2 3'
_cell_length_a 5.009
_cell_length_b 5.009
_cell_length_c 5.009
_cell_angle_alpha 90.00
_cell_angle_beta 90.00
_cell_angle_gamma 90.00
loop_
_atom_site_label
_atom_site_fract_x
_atom_site_fract_y
_atom_site_fract_z
_atom_site_occupancy
Cs1 0.000 0.000 0.000 1
Hf1 0.000 0.500 0.500 1
S1 0.500 0.500 0.500 1
```

Calculated values
ΔE_f (raw) = 462.5 meV per atom
Magnetic moment = 0.0 μB per formula unit

---

Entry 8:
Below is Fe2CoCu after structural relaxation, with properties calculated at the PBE level.

Cell and atoms, written as CIF:
```
data_Fe2CoCu
_space_group_name_H-M_alt 'P 4 m m'
_space_group_IT_number 99
_cell_length_a 2.938
_cell_length_b 2.938
_cell_length_c 5.410
_cell_angle_alpha 90.00
_cell_angle_beta 90.00
_cell_angle_gamma 90.00
loop_
_space_group_symop_operation_xyz
'x,y,z'
'-y,x,z'
'-x,-y,z'
'y,-x,z'
'-x,y,z'
'y,x,z'
'x,-y,z'
'-y,-x,z'
loop_
_atom_site_label
_atom_site_fract_x
_atom_site_fract_y
_atom_site_fract_z
_atom_site_occupancy
Fe1 0.000 0.000 0.000 1
Fe2 0.500 0.500 0.256 1
Co1 0.000 0.000 0.491 1
Cu1 0.500 0.500 0.747 1
```

Calculated values
Energy of formation from the pure elements = 0.108 eV/atom
Magnetic moment = 6.8 μB per formula unit